RuRhS2N after structural relaxation. Source: the Alexandria database, functional PBE.

a b c (Å): 4.735 4.735 3.596
angles (deg): 90.00 90.00 90.00
Atoms (fractional coordinates):
Ru (0.000, 0.000, 0.000)
Rh (0.500, 0.500, 0.500)
S (0.000, 0.500, 0.000)
S (0.500, 0.000, 0.000)
N (0.000, 0.000, 0.500)

Summary:
* final energy: -29.4 eV for the cell shown
* space-group type: P4/mmm
* spin magnetization: 0.00 μB/cell
* formation energy from raw total energies: 364 kJ/mol of formula units



RuRhSe2N after structural relaxation. Source: the Alexandria database, functional PBE.

a b c (Å): 4.978 4.978 3.592
angles (deg): 90.00 90.00 90.00
Atoms (fractional coordinates):
Ru (0.000, 0.000, 0.000)
Rh (0.500, 0.500, 0.500)
Se (0.000, 0.500, 0.000)
Se (0.500, 0.000, 0.000)
N (0.000, 0.000, 0.500)

Summary:
* final energy: -28.7 eV for the cell shown
* space-group type: P4/mmm
* spin magnetization: 0.00 μB/cell
* formation energy from raw total energies: 313 kJ/mol of formula units



RuRhSe2N after structural relaxation. Source: the Alexandria database, functional PBE.

a b c (Å): 5.023 5.023 3.570
angles (deg): 90.00 90.00 90.00
Atoms (fractional coordinates):
Ru (0.000, 0.000, 0.000)
Rh (0.500, 0.500, 0.500)
Se (0.000, 0.500, 0.500)
Se (0.500, 0.000, 0.500)
N (0.500, 0.500, 0.000)

Summary:
* final energy: -27.4 eV for the cell shown
* space-group type: P4/mmm
* spin magnetization: 1.03 μB/cell
* formation energy from raw total energies: 439 kJ/mol of formula units



Ta2RuRhN after structural relaxation. Source: the Alexandria database, functional PBE.

a b c (Å): 4.735 4.735 4.639
angles (deg): 90.00 90.00 90.00
Atoms (fractional coordinates):
Ta (0.000, 0.500, 0.000)
Ta (0.500, 0.000, 0.000)
Ru (0.000, 0.000, 0.000)
Rh (0.000, 0.000, 0.500)
N (0.500, 0.500, 0.500)

Summary:
* final energy: -37.6 eV for the cell shown
* space-group type: P4/mmm
* spin magnetization: 0.00 μB/cell
* formation energy from raw total energies: 1070 kJ/mol of formula units



TeRuRhN2 after structural relaxation. Source: the Alexandria database, functional PBE.

a b c (Å): 3.764 3.764 6.295
angles (deg): 90.00 90.00 90.00
Atoms (fractional coordinates):
Te (0.000, 0.000, 0.000)
Ru (0.500, 0.500, 0.000)
Rh (0.000, 0.000, 0.500)
N (0.000, 0.500, 0.500)
N (0.500, 0.000, 0.500)

Summary:
* final energy: -29.7 eV for the cell shown
* space-group type: P4/mmm
* spin magnetization: 1.58 μB/cell
* formation energy from raw total energies: 652 kJ/mol of formula units



TeRuRhN2 after structural relaxation. Source: the Alexandria database, functional PBE.

a b c (Å): 3.778 3.778 5.861
angles (deg): 90.00 90.00 90.00
Atoms (fractional coordinates):
Te (0.000, 0.000, 0.000)
Ru (0.000, 0.000, 0.500)
Rh (0.500, 0.500, 0.000)
N (0.000, 0.500, 0.500)
N (0.500, 0.000, 0.500)

Summary:
* final energy: -32.0 eV for the cell shown
* space-group type: P4/mmm
* spin magnetization: 1.01 μB/cell
* formation energy from raw total energies: 425 kJ/mol of formula units



ZnRuRh2N after structural relaxation. Source: the Alexandria database, functional PBE.

a b c (Å): 4.076 4.076 3.964
angles (deg): 90.00 90.00 90.00
Atoms (fractional coordinates):
Zn (0.000, 0.000, 0.000)
Ru (0.500, 0.500, 0.000)
Rh (0.000, 0.500, 0.500)
Rh (0.500, 0.000, 0.500)
N (0.500, 0.500, 0.500)

Summary:
* final energy: -33.4 eV for the cell shown
* space-group type: P4/mmm
* spin magnetization: 0.00 μB/cell
* formation energy from raw total energies: 22 kJ/mol of formula units



Rh2SN after structural relaxation. Source: the Alexandria database, functional PBE.

a b c (Å): 6.317 6.317 6.317
angles (deg): 135.94 135.94 64.07
Atoms (fractional coordinates):
Rh (0.055, 0.625, 0.930)
Rh (0.375, 0.305, 0.430)
Rh (0.695, 0.125, 0.070)
Rh (0.875, 0.945, 0.570)
S (0.250, 0.750, 0.500)
S (0.500, 0.500, 0.000)
N (0.000, 0.000, 0.000)
N (0.750, 0.250, 0.500)

Summary:
* final energy: -53.4 eV for the cell shown
* space-group type: I-42d
* spin magnetization: 0.00 μB/cell
* formation energy from raw total energies: 43 kJ/mol of formula units